{
  "formula": "K2RePbS4",
  "functional": "GGA-PBE",
  "state": "relaxed",
  "lattice": [[6.791, 0.335, 0.513], [-2.591, 6.286, -0.513], [-2.591, -2.999, 5.548]],
  "species": ["Pb", "K", "K", "S", "S", "S", "S", "Re"],
  "frac_coords": [[0.500, 0.250, 0.750], [0.000, 0.000, 0.000], [0.500, 0.750, 0.250], [0.030, 0.199, 0.539], [0.659, 0.461, 0.491], [0.341, 0.832, 0.801], [0.970, 0.509, 0.168], [0.000, 0.500, 0.500]],
  "crystal_system": "tetragonal",
  "e_form_raw_kj_per_mol_fu": -452
}

=====

{
  "formula": "KSrRe2Pb",
  "functional": "GGA-PBE",
  "state": "relaxed",
  "lattice": [[5.193, 0.000, 0.000], [0.000, 6.008, 0.000], [0.000, 0.000, 5.193]],
  "species": ["Re", "Re", "K", "Sr", "Pb"],
  "frac_coords": [[0.500, 0.000, 0.000], [0.000, 0.000, 0.500], [0.500, 0.500, 0.500], [0.000, 0.500, 0.000], [0.000, 0.000, 0.000]],
  "crystal_system": "tetragonal",
  "e_form_ev_per_fu": 9.695
}

=====

Values for DOS(E_F), states/eV per atom, ordered as above
0.54; 1.15
Values for final energy, eV per formula unit, ordered as above
-39.544; -21.689
Values for volume, Å³ per atom, ordered as above
30.5; 32.4